[1]
The following is a DFT calculation (meta-GGA SCAN) of Sr2InPt2 at its PBEsol-relaxed geometry.

a b c (Å): 10.197 5.939 8.278
angles (deg): 90.00 103.39 90.00
Space group C2/c (No. 15)
Symmetry-distinct sites (fractional):
1 Sr 0.148 0.143 0.147 x8
2 In 0.000 0.365 0.750 x4
3 Pt 0.137 0.362 0.502 x8

The value obtained for the total energy is -44.635 eV per atom.

***

[2]
The following is a DFT calculation (meta-GGA SCAN) of SrIn2Pt2 at its PBEsol-relaxed geometry.

a b c (Å): 4.403 4.403 11.649
angles (deg): 90.00 90.00 90.00
Space group I4/mmm (No. 139)
Symmetry-distinct sites (fractional):
1 Sr 0.000 0.000 0.000 x2
2 In 0.000 0.500 0.250 x4
3 Pt 0.000 0.000 0.389 x4

The value obtained for the total energy is -46.716 eV per atom.

***

[3]
The following is a DFT calculation (meta-GGA SCAN) of SrInPt4 at its PBEsol-relaxed geometry.

a b c (Å): 7.619 7.619 7.619
angles (deg): 90.00 90.00 90.00
Space group F-43m (No. 216)
Symmetry-distinct sites (fractional):
1 Sr 0.000 0.000 0.000 x4
2 In 0.250 0.250 0.250 x4
3 Pt 0.124 0.124 0.624 x16

The value obtained for the total energy is -56.770 eV per atom.

***

[4]
The following is a DFT calculation (meta-GGA SCAN) of Sr2InPt at its PBEsol-relaxed geometry.

a b c (Å): 4.478 4.609 11.612
angles (deg): 90.00 90.00 90.00
Space group Amm2 (No. 38)
Symmetry-distinct sites (fractional):
1 Sr 0.000 0.000 0.000 x2
2 Sr 0.500 0.000 0.291 x2
3 In 0.500 0.000 0.589 x2
4 Pt 0.000 0.000 0.719 x2

The value obtained for the total energy is -37.760 eV per atom.

***

Formation energy / kJ per mole of atoms: -93.6, -80.0, -67.3, -70.2
Magnetization / μB/atom: 0.000, 0.000, 0.000, 0.000
V / Å³ per atom: 24.38, 22.58, 18.43, 29.96